First-principles (PBE) data for an optimized crystal structure of Pm7InSi2, as listed in Alexandria via LeMat-Bulk.

Results
space-group type	I4/mmm (139)
crystal system	tetragonal
density of states at the Fermi level	1.232	states/eV/atom
formation energy (no corrections)	-315	kJ/mol of formula units

Cell lengths 4.9934, 4.9934, 12.4427 Å; angles 101.58, 101.58, 90.00 degrees
With the nearest neighbours (Å) after each atom.
Atoms (fractional coordinates):
Pm: 0.1031 0.6031 0.2063  2 Si 3.05
Pm: 0.3969 0.8969 0.7937  2 Si 3.05
Si: 0.3232 0.3232 0.6464  8 Pm 3.05
Pm: 0.2500 0.7500 0.5000  4 Si 3.05
Si: 0.6768 0.6768 0.3536  8 Pm 3.05
In: 0.0000 0.0000 0.0000  12 Pm 3.51-3.53
Pm: 0.8969 0.3969 0.7937  2 Si 3.05
Pm: 0.7500 0.2500 0.5000  4 Si 3.05
Pm: 0.5000 0.5000 0.0000  8 Pm 3.51, 4 In 3.53
Pm: 0.6031 0.1031 0.2063  2 Si 3.05



First-principles (PBE) data for an optimized crystal structure of PrSmSc2Se4, as listed in Alexandria via LeMat-Bulk.

Results
space-group type	P2/m (10)
crystal system	monoclinic
density of states at the Fermi level	0.546	states/eV/atom
formation energy (no corrections)	-1311	kJ/mol of formula units

Cell lengths 3.9803, 7.1726, 6.9348 Å; angles 71.34, 90.00, 90.00 degrees
With the nearest neighbours (Å) after each atom.
Atoms (fractional coordinates):
Pr: 0.5000 0.5000 0.0000  6 Se 3.00
Se: 0.5000 0.2227 0.7560  3 Sc 2.74-2.77, 2 Sm 2.97, 1 Pr 3.00
Sm: 0.0000 0.5000 0.5000  6 Se 2.97
Sc: 0.0000 0.0000 0.0000  6 Se 2.77
Se: 0.5000 0.7773 0.2440  3 Sc 2.74-2.77, 2 Sm 2.97, 1 Pr 3.00
Sc: 0.5000 0.0000 0.5000  6 Se 2.74
Se: 0.0000 0.2203 0.2634  3 Sc 2.74-2.77, 1 Sm 2.97, 2 Pr 3.00
Se: 0.0000 0.7797 0.7366  3 Sc 2.74-2.77, 1 Sm 2.97, 2 Pr 3.00



First-principles (PBE) data for an optimized crystal structure of Dy2YHo4, as listed in Alexandria via LeMat-Bulk.

Results
polymorph energy (0 for the lowest one)	98.6	meV per atom
ΔE_f	138.2	meV/atom
space-group type	P2_1/m (11)
crystal system	monoclinic
density of states at the Fermi level	1.744	states/eV/atom

Cell lengths 6.1497, 6.4976, 11.4538 Å; angles 90.00, 105.13, 90.00 degrees
With the nearest neighbours (Å) after each atom.
Atoms (fractional coordinates):
Ho: 0.9762 0.2500 0.1462  2 Ho 3.32, 3 Dy 3.33-3.53, 3 Y 3.35-3.43
Y: 0.1587 0.7500 0.1570  6 Ho 3.31-3.43, 2 Dy 3.42-3.70
Dy: 0.6067 0.7500 0.9955  6 Ho 3.37-3.66, 2 Y 3.42-3.70, 2 Dy 3.52
Dy: 0.7041 0.7500 0.5696  9 Ho 3.33-3.54
Ho: 0.1414 0.7500 0.4434  1 Y 3.31, 4 Dy 3.37-3.40, 4 Ho 3.43-3.47
Y: 0.8413 0.2500 0.8430  6 Ho 3.31-3.43, 2 Dy 3.42-3.70
Ho: 0.6513 0.9968 0.2879  5 Ho 3.21-3.47, 1 Y 3.41, 2 Dy 3.47-3.54
Dy: 0.3933 0.2500 0.0045  6 Ho 3.37-3.66, 2 Y 3.42-3.70, 2 Dy 3.52
Ho: 0.0238 0.7500 0.8538  2 Ho 3.32, 3 Dy 3.33-3.53, 3 Y 3.35-3.43
Ho: 0.8586 0.2500 0.5566  1 Y 3.31, 4 Dy 3.37-3.40, 4 Ho 3.43-3.47
Dy: 0.2959 0.2500 0.4304  9 Ho 3.33-3.54
Ho: 0.3487 0.4968 0.7121  5 Ho 3.21-3.47, 1 Y 3.41, 2 Dy 3.47-3.54
Ho: 0.6513 0.5032 0.2879  5 Ho 3.21-3.47, 1 Y 3.41, 2 Dy 3.47-3.54
Ho: 0.3487 0.0032 0.7121  5 Ho 3.21-3.47, 1 Y 3.41, 2 Dy 3.47-3.54